VASP calculation (PBE) on a relaxed structure of SrTcCl2.

Computed properties:
Spin magnetization: 4.74 μB/f.u.
Space-group type: R-3m
Relative energy among the computed polymorphs: 211 meV/atom
Calculated total energy: -4.26 eV/atom
Energy relative to the elements, uncorrected: -1.3 eV per formula unit

Unit cell a=10.961 b=10.961 c=10.961 alpha=21.44 beta=21.44 gamma=21.44
Positions (direct):
1 Tc 0.750 0.750 0.750
2 Cl 0.533 0.533 0.533
3 Cl 0.967 0.967 0.967
4 Sr 0.250 0.250 0.250


VASP calculation (PBE) on a relaxed structure of Y2RhI.

Computed properties:
Spin magnetization: 0.00 μB/f.u.
Space-group type: Cm
Relative energy among the computed polymorphs: 18 meV/atom
Calculated total energy: -6.36 eV/atom
Energy relative to the elements, uncorrected: -3.6 eV per formula unit

Unit cell a=4.112 b=4.112 c=8.280 alpha=82.86 beta=82.86 gamma=60.29
Positions (direct):
1 Y 0.922 0.922 0.089
2 I 0.817 0.817 0.719
3 Y 0.199 0.199 0.437
4 Rh 0.562 0.562 0.256


VASP calculation (PBE) on a relaxed structure of NaLa2AlOs.

Computed properties:
Spin magnetization: 0.00 μB/f.u.
Space-group type: P4/mmm
ΔH_f (0 K): -0.0989 eV/atom
Calculated total energy: -5.33 eV/atom

Unit cell a=5.601 b=5.601 c=4.974 alpha=90.00 beta=90.00 gamma=90.00
Positions (direct):
1 Os 0.000 0.000 0.000
2 Al 0.000 0.000 0.500
3 Na 0.500 0.500 0.500
4 La 0.000 0.500 0.000
5 La 0.500 0.000 0.000


VASP calculation (PBE) on a relaxed structure of Li2PmHo2Ga2.

Computed properties:
Spin magnetization: 0.00 μB/f.u.
Space-group type: R-3m
ΔH_f (0 K): -0.2815 eV/atom
Calculated total energy: -3.68 eV/atom

Unit cell a=4.640 b=4.640 c=9.144 alpha=75.30 beta=75.30 gamma=60.00
Positions (direct):
1 Ho 0.127 0.127 0.618
2 Li 0.597 0.597 0.208
3 Li 0.403 0.403 0.792
4 Ho 0.873 0.873 0.382
5 Ga 0.258 0.258 0.225
6 Ga 0.742 0.742 0.775
7 Pm 0.000 0.000 0.000


DOS(E_F)? In order: 0.57 0.04 0.92 0.73 states/eV/atom.